The following is a DFT calculation (meta-GGA SCAN) of a crystal of CsNaAg3 relaxed with PBEsol.

a b c (Å): 6.153 6.153 6.153
angles (deg): 90.00 90.00 90.00
Fractional positions:
Cs 0.000 0.000 0.000
Na 0.500 0.500 0.500
Ag 0.000 0.000 0.500
Ag 0.000 0.500 0.000
Ag 0.500 0.000 0.000

Values from the calculation:
For the energy of formation, the calculation gives 1089 meV per atom. As for the volume: 46.6 Å³/atom.